[1]
A relaxed BaNb2SiSn crystal. Source: Alexandria, functional GGA-PBE.

Results
DOS(E_F) = 0.830 states/eV per atom
Space group = No. 123
Total energy = -5.705 eV per atom

a = 4.938 Å, b = 5.363 Å, c = 4.938 Å
α = 90.00°, β = 90.00°, γ = 90.00°
Sites, in units of the cell vectors:
Nb 0.000 0.000 0.500
Nb 0.500 0.000 0.000
Ba 0.500 0.500 0.500
Sn 0.000 0.500 0.000
Si 0.000 0.000 0.000

[2]
A relaxed BaNbSi2Te crystal. Source: Alexandria, functional GGA-PBE.

Results
DOS(E_F) = 2.438 states/eV per atom
Space group = No. 123
Total energy = -3.096 eV per atom

a = 5.375 Å, b = 6.098 Å, c = 5.375 Å
α = 90.00°, β = 90.00°, γ = 90.00°
Sites, in units of the cell vectors:
Nb 0.500 0.500 0.500
Ba 0.000 0.000 0.000
Si 0.500 0.000 0.000
Si 0.000 0.000 0.500
Te 0.000 0.500 0.000

[3]
A relaxed BaNbVSi2 crystal. Source: Alexandria, functional GGA-PBE.

Results
DOS(E_F) = 1.557 states/eV per atom
Space group = No. 123
Total energy = -5.206 eV per atom

a = 4.683 Å, b = 5.258 Å, c = 4.683 Å
α = 90.00°, β = 90.00°, γ = 90.00°
Each line ends with the local moment (μB).
Sites, in units of the cell vectors:
Si 0.000 0.000 0.500  -0.02
Si 0.500 0.000 0.000  -0.02
V 0.000 0.000 0.000  0.67
Nb 0.500 0.500 0.500  0.15
Ba 0.000 0.500 0.000  0.06

[4]
A relaxed BaNb2VSi crystal. Source: Alexandria, functional GGA-PBE.

Results
DOS(E_F) = 1.290 states/eV per atom
Space group = No. 123
Total energy = -6.591 eV per atom

a = 4.821 Å, b = 4.914 Å, c = 4.821 Å
α = 90.00°, β = 90.00°, γ = 90.00°
Each line ends with the local moment (μB).
Sites, in units of the cell vectors:
Ba 0.500 0.500 0.500  0.02
Nb 0.500 0.000 0.000  0.15
Nb 0.000 0.000 0.500  0.14
Si 0.000 0.500 0.000  0.00
V 0.000 0.000 0.000  -0.04

The records above yield energy relative to the elements, uncorrected values of 0.593 2.100 1.185 0.729 eV/atom, respectively.